(1)
ThInS2: relaxed, GGA-PBE. Values from VASP.

The uncorrected energy is -5.16 eV/atom. The value obtained for the mass density is 6.3 g/cm3.

Quantum ESPRESSO input file:
```
&SYSTEM
  ibrav = 0, nat = 4, ntyp = 3
/
ATOMIC_SPECIES
Th 232.04 Th.upf
In 114.82 In.upf
S 32.06 S.upf
CELL_PARAMETERS angstrom
1.9157 1.1060 8.4862
-1.9157 1.1060 8.4862
0.0000 -2.2121 8.4862
ATOMIC_POSITIONS crystal
Th 0.0000 0.0000 0.0000
In 0.5000 0.5000 0.5000
S 0.1072 0.1072 0.1072
S 0.8928 0.8928 0.8928
```



(2)
ThIn3S6: relaxed, GGA-PBE. Values from VASP.

The uncorrected energy is -4.94 eV/atom. The value obtained for the mass density is 5.4 g/cm3.

Quantum ESPRESSO input file:
```
&SYSTEM
  ibrav = 0, nat = 20, ntyp = 3
/
ATOMIC_SPECIES
Th 232.04 Th.upf
In 114.82 In.upf
S 32.06 S.upf
CELL_PARAMETERS angstrom
11.0688 0.0000 0.0000
0.0000 4.0287 0.0000
-4.6406 0.0000 10.6485
ATOMIC_POSITIONS crystal
Th 0.2034 0.2500 0.0534
Th 0.7966 0.7500 0.9466
In 0.0300 0.7500 0.3068
In 0.3460 0.2500 0.4531
In 0.3873 0.7500 0.8320
In 0.6127 0.2500 0.1680
In 0.6540 0.7500 0.5469
In 0.9700 0.2500 0.6932
S 0.0365 0.7500 0.9046
S 0.1152 0.2500 0.4545
S 0.2189 0.2500 0.8007
S 0.2339 0.7500 0.2527
S 0.3981 0.7500 0.0722
S 0.4474 0.7500 0.6079
S 0.5526 0.2500 0.3921
S 0.6019 0.2500 0.9278
S 0.7661 0.2500 0.7472
S 0.7811 0.7500 0.1993
S 0.8848 0.7500 0.5455
S 0.9635 0.2500 0.0954
```



(3)
ThInS: relaxed, GGA-PBE. Values from VASP.

The uncorrected energy is -5.54 eV/atom. The value obtained for the mass density is 7.2 g/cm3.

Quantum ESPRESSO input file:
```
&SYSTEM
  ibrav = 0, nat = 6, ntyp = 3
/
ATOMIC_SPECIES
Th 232.04 Th.upf
In 114.82 In.upf
S 32.06 S.upf
CELL_PARAMETERS angstrom
3.8605 0.0000 0.0000
-1.9303 3.3433 0.0000
0.0000 0.0000 13.4679
ATOMIC_POSITIONS crystal
Th 0.0000 0.0000 0.1906
Th 0.0000 0.0000 0.8094
In 0.0000 0.0000 0.5000
In 0.6667 0.3333 0.0000
S 0.6667 0.3333 0.3177
S 0.6667 0.3333 0.6823
```